TbZn | OQMD via LeMat-Bulk | PBE-GGA | relaxed; space-group type = Fm-3m; DFT total energy = -2.994 eV per atom; formation energy = -0.05 eV per atom; magnetization = 0.002 μB/atom
1.0
0.000 2.961 2.961
2.961 0.000 2.961
2.961 2.961 0.000
Tb Zn
1 1
Direct
0.000 0.000 0.000
0.500 0.500 0.500


TbZn | OQMD via LeMat-Bulk | PBE-GGA | relaxed; space-group type = Pm; DFT total energy = -3.050 eV per atom; formation energy = -0.10 eV per atom; magnetization = 0.020 μB/atom
1.0
5.537 0.000 0.000
0.000 5.240 0.000
-2.760 0.000 7.925
Tb Zn
5 5
Direct
0.000 0.000 0.000
0.018 0.500 0.766
0.252 0.500 0.234
0.423 0.000 0.776
0.647 0.000 0.225
0.205 0.000 0.398
0.454 0.500 0.608
0.646 0.500 0.000
0.807 0.000 0.602
0.845 0.500 0.392


TbZn | OQMD via LeMat-Bulk | PBE-GGA | relaxed; space-group type = Pbcm; DFT total energy = -3.081 eV per atom; formation energy = -0.13 eV per atom; magnetization = 0.137 μB/atom
1.0
6.574 0.000 0.000
0.000 5.373 0.000
0.000 0.000 5.344
Tb Zn
4 4
Direct
0.166 0.006 0.250
0.166 0.494 0.750
0.834 0.506 0.250
0.834 0.994 0.750
0.379 0.509 0.250
0.379 0.991 0.750
0.621 0.009 0.250
0.621 0.491 0.750